# ScH2 PBE relaxed
data_ScH2
_cell_length_a 5.602
_cell_length_b 3.409
_cell_length_c 5.628
_cell_angle_alpha 90.00
_cell_angle_beta 104.36
_cell_angle_gamma 90.00
_space_group_name_H-M_alt 'P 1'
_space_group_IT_number 1
loop_
_space_group_symop_operation_xyz
'x,y,z'
loop_
_atom_site_label
_atom_site_type_symbol
_atom_site_fract_x
_atom_site_fract_y
_atom_site_fract_z
Sc1 Sc 0.000 0.500 0.000
Sc2 Sc 0.000 0.000 0.500
Sc3 Sc 0.500 0.500 0.500
Sc4 Sc 0.500 0.000 0.000
H1 H 0.162 0.000 0.198
H2 H 0.838 0.000 0.802
H3 H 0.162 0.500 0.698
H4 H 0.838 0.500 0.302
H5 H 0.381 0.000 0.628
H6 H 0.619 0.000 0.372
H7 H 0.381 0.500 0.128
H8 H 0.619 0.500 0.872
# - Size of the total moment: 0.0 μB/f.u.
# - D(E_F): 0.410 states/eV per atom
# - Mass density: 3.00 Mg/m³
# - DFT total energy: -4.8757 eV per atom

# PmCo6Ni6 PBE relaxed
data_PmCo6Ni6
_cell_length_a 4.687
_cell_length_b 6.322
_cell_length_c 6.322
_cell_angle_alpha 82.92
_cell_angle_beta 68.24
_cell_angle_gamma 68.24
_space_group_name_H-M_alt 'P 1'
_space_group_IT_number 1
loop_
_space_group_symop_operation_xyz
'x,y,z'
loop_
_atom_site_label
_atom_site_type_symbol
_atom_site_fract_x
_atom_site_fract_y
_atom_site_fract_z
Pm1 Pm 0.000 0.000 0.000
Co1 Co 0.000 0.500 0.000
Co2 Co 0.500 0.500 0.000
Co3 Co 0.000 0.000 0.500
Co4 Co 0.500 0.000 0.500
Co5 Co 0.500 0.764 0.236
Co6 Co 0.500 0.236 0.764
Ni1 Ni 0.354 0.646 0.646
Ni2 Ni 0.646 0.354 0.354
Ni3 Ni 0.000 0.357 0.643
Ni4 Ni 0.000 0.643 0.357
Ni5 Ni 0.277 0.223 0.223
Ni6 Ni 0.723 0.777 0.777
# - Size of the total moment: 12.4 μB/f.u.
# - D(E_F): 1.467 states/eV per atom
# - Mass density: 8.75 Mg/m³
# - DFT total energy: -6.3597 eV per atom

- The lowest size of the total moment belongs to which entry?
  ScH2